(1)
WBrCl2 | Alexandria via LeMat-Bulk | PBE | relaxed; uncorrected formation energy = 76.8 kJ/mol of atoms; D(E_F) = 1.15 states/eV/f.u.; V = 311.7 Å³ per cell; distance to the lowest polymorph of the same formula = 1143.5 meV/atom; electronic total energy = -3.7834 eV/atom
1.0
6.780 0.000 0.000
0.000 6.780 0.000
0.000 0.000 6.780
W Br Cl
4 4 8
direct
0.000 0.000 0.000
0.000 0.500 0.500
0.500 0.000 0.500
0.500 0.500 0.000
0.250 0.250 0.750
0.250 0.750 0.250
0.750 0.250 0.250
0.750 0.750 0.750
0.000 0.000 0.500
0.000 0.500 0.000
0.250 0.250 0.250
0.250 0.750 0.750
0.500 0.000 0.000
0.500 0.500 0.500
0.750 0.250 0.750
0.750 0.750 0.250

***

(2)
LiYScGe | Alexandria via LeMat-Bulk | PBE | relaxed; formation enthalpy at 0 K = -0.436 eV per atom; D(E_F) = 2.37 states/eV/f.u.; V = 326.9 Å³ per cell; electronic total energy = -5.2675 eV/atom
1.0
6.889 0.000 0.000
0.000 6.889 0.000
0.000 0.000 6.889
Li Y Sc Ge
4 4 4 4
direct
0.000 0.000 0.000
0.000 0.500 0.500
0.500 0.000 0.500
0.500 0.500 0.000
0.250 0.250 0.750
0.250 0.750 0.250
0.750 0.250 0.250
0.750 0.750 0.750
0.250 0.250 0.250
0.250 0.750 0.750
0.750 0.250 0.750
0.750 0.750 0.250
0.000 0.000 0.500
0.000 0.500 0.000
0.500 0.000 0.000
0.500 0.500 0.500

***

(3)
K2CdH4 | Alexandria via LeMat-Bulk | PBE | relaxed; D(E_F) = 0.00 states/eV/f.u.; V = 273.9 Å³ per cell; electronic total energy = -2.5094 eV/atom
1.0
6.055 0.000 0.000
0.000 6.141 0.000
-2.536 0.000 7.368
K Cd H
4 2 8
direct
0.189 0.250 0.424
0.307 0.250 0.978
0.693 0.750 0.022
0.811 0.750 0.576
0.279 0.750 0.217
0.721 0.250 0.783
0.064 0.750 0.337
0.137 0.750 0.966
0.474 0.512 0.274
0.474 0.988 0.274
0.526 0.012 0.726
0.526 0.488 0.726
0.863 0.250 0.034
0.936 0.250 0.663

***

(4)
Rb4MnAs2S8 | Alexandria via LeMat-Bulk | PBE | relaxed; uncorrected formation energy = -69.1 kJ/mol of atoms; V = 925.6 Å³ per cell; electronic total energy = -4.4062 eV/atom
1.0
9.267 0.000 0.000
-0.424 9.475 0.000
-2.949 -3.086 10.541
Rb Mn As S
8 2 4 16
direct
0.067 0.487 0.248
0.235 0.005 0.036
0.374 0.321 0.883
0.396 0.257 0.478
0.604 0.743 0.522
0.626 0.679 0.117
0.765 0.995 0.964
0.933 0.513 0.752
0.147 0.861 0.575
0.853 0.139 0.425
0.045 0.892 0.277
0.362 0.683 0.753
0.638 0.317 0.247
0.955 0.108 0.723
0.014 0.251 0.915
0.026 0.122 0.276
0.106 0.159 0.615
0.176 0.593 0.578
0.266 0.869 0.396
0.289 0.666 0.916
0.403 0.916 0.752
0.439 0.431 0.250
0.561 0.569 0.750
0.597 0.084 0.248
0.711 0.334 0.084
0.734 0.131 0.604
0.824 0.407 0.422
0.894 0.841 0.385
0.974 0.878 0.724
0.986 0.749 0.085

***

(5)
CaLaTlBr6 | Alexandria via LeMat-Bulk | PBE | relaxed; uncorrected formation energy = -170.3 kJ/mol of atoms; D(E_F) = 0.00 states/eV/f.u.; V = 723.9 Å³ per cell; electronic total energy = -3.9126 eV/atom
1.0
7.640 0.000 0.000
-3.820 6.617 0.000
0.000 0.000 14.320
Ca La Tl Br
2 2 2 12
direct
0.333 0.667 0.250
0.667 0.333 0.750
0.333 0.667 0.750
0.667 0.333 0.250
0.000 0.000 0.000
0.000 0.000 0.500
0.004 0.368 0.135
0.004 0.636 0.365
0.364 0.368 0.365
0.364 0.996 0.135
0.368 0.004 0.635
0.368 0.364 0.865
0.632 0.636 0.135
0.632 0.996 0.365
0.636 0.004 0.865
0.636 0.632 0.635
0.996 0.364 0.635
0.996 0.632 0.865

***

(6)
FeNi2HgH | Alexandria via LeMat-Bulk | PBE | relaxed; D(E_F) = 5.76 states/eV/f.u.; V = 56.2 Å³ per cell; electronic total energy = -4.5603 eV/atom
1.0
3.829 0.000 0.000
0.000 3.829 0.000
0.000 0.000 3.831
Fe Ni Hg H
1 2 1 1
direct
0.000 0.000 0.000
0.000 0.500 0.500
0.500 0.000 0.500
0.500 0.500 0.000
0.000 0.000 0.500

***

- Among the records above, which one has the lowest V?
  FeNi2HgH

***

- What is the electronic total energy in the sixth record?
  -4.5603 eV/atom

***

- The lowest electronic total energy belongs to which entry?
  LiYScGe